10
Lattice="6.511 -4.585 0.000 6.511 4.585 0.000 -0.085 0.000 4.421" Properties=species:S:1:pos:R:3 comment="NdGaSe3 (PBE, relaxed)" raw_formation_energy_ev_per_fu=-5.86 mass_density_g_cm3=5.67 space_group=C2/m vol_a3_per_cell=264 pbc="T T T"
Nd 3.046 0.000 1.160
Nd 9.892 0.000 3.261
Ga 6.469 1.751 2.210
Ga 6.469 -1.751 2.210
Se 4.601 2.777 1.082
Se 8.336 2.777 3.338
Se 5.126 0.000 3.358
Se 7.811 0.000 1.063
Se 4.601 -2.777 1.082
Se 8.336 -2.777 3.338